[1]
! PBE+U K2NdMo3O12, optimized geometry; values from VASP
! Crystal system = trigonal
! E_tot = -6.672 eV/atom
! Total magnetic moment = 0.99 μB per cell
! Density of states at the Fermi level = 0.555 states/eV/atom
&SYSTEM
  ibrav = 0, nat = 18, ntyp = 4
/
ATOMIC_SPECIES
K 39.10 K.upf
Nd 144.24 Nd.upf
Mo 95.94 Mo.upf
O 16.00 O.upf
ATOMIC_POSITIONS crystal
K 0.1507 0.1507 0.1507
K 0.8493 0.8493 0.8493
Nd 0.5000 0.5000 0.5000
Mo 0.0000 0.5000 0.5000
Mo 0.5000 0.0000 0.5000
Mo 0.5000 0.5000 0.0000
O 0.1253 0.5881 0.5881
O 0.2072 0.2072 0.5673
O 0.2072 0.5673 0.2072
O 0.4119 0.4119 0.8747
O 0.4119 0.8747 0.4119
O 0.4327 0.7928 0.7928
O 0.5673 0.2072 0.2072
O 0.5881 0.1253 0.5881
O 0.5881 0.5881 0.1253
O 0.7928 0.4327 0.7928
O 0.7928 0.7928 0.4327
O 0.8747 0.4119 0.4119
CELL_PARAMETERS angstrom
3.7745 2.1792 6.2671
-3.7745 2.1792 6.2671
0.0000 -4.3584 6.2671


[2]
! PBE+U K2Nd2MoO6, optimized geometry; values from VASP
! Crystal system = monoclinic
! E_tot = -6.774 eV/atom
! Total magnetic moment = 2.00 μB per cell
! Density of states at the Fermi level = 0.000 states/eV/atom
&SYSTEM
  ibrav = 0, nat = 11, ntyp = 4
/
ATOMIC_SPECIES
K 39.10 K.upf
Nd 144.24 Nd.upf
Mo 95.94 Mo.upf
O 16.00 O.upf
ATOMIC_POSITIONS crystal
K 0.1569 0.8431 0.0000
K 0.8431 0.1569 0.0000
Nd 0.3367 0.6633 0.5000
Nd 0.6633 0.3367 0.5000
Mo 0.0000 0.0000 0.5000
O 0.0467 0.3481 0.6715
O 0.2495 0.2495 0.3195
O 0.3481 0.0467 0.6715
O 0.6519 0.9533 0.3285
O 0.7505 0.7505 0.6805
O 0.9533 0.6519 0.3285
CELL_PARAMETERS angstrom
3.0459 -5.1810 0.0000
3.0459 5.1810 0.0000
-1.8197 0.0000 6.3790


[3]
! PBE+U K3Nd3MoO8, optimized geometry; values from VASP
! Crystal system = monoclinic
! E_tot = -6.726 eV/atom
! Total magnetic moment = 2.00 μB per cell
! Density of states at the Fermi level = 0.000 states/eV/atom
&SYSTEM
  ibrav = 0, nat = 15, ntyp = 4
/
ATOMIC_SPECIES
K 39.10 K.upf
Nd 144.24 Nd.upf
Mo 95.94 Mo.upf
O 16.00 O.upf
ATOMIC_POSITIONS crystal
K 0.0000 0.0000 0.0000
K 0.0000 0.5000 0.0000
K 0.5000 0.0000 0.0000
Nd 0.0000 0.5000 0.5000
Nd 0.5000 0.0000 0.5000
Nd 0.5000 0.5000 0.5000
Mo 0.0000 0.0000 0.5000
O 0.2056 0.2056 0.6740
O 0.2099 0.7570 0.6749
O 0.2430 0.7901 0.3251
O 0.2689 0.2689 0.3095
O 0.7311 0.7311 0.6905
O 0.7570 0.2099 0.6749
O 0.7901 0.2430 0.3251
O 0.7944 0.7944 0.3260
CELL_PARAMETERS angstrom
6.1074 -3.5487 0.0000
6.1074 3.5487 0.0000
-4.0913 0.0000 6.3132